Entry 1:
First-principles (PBE) data for Ti2ReW after structural relaxation, as listed in Alexandria.

Lattice parameters (Å, degrees): 3.1362 3.1362 6.3273 90.00 90.00 90.00
Space group P4/mmm (No. 123)
Symmetry-distinct sites (fractional):
1 Ti 0.0000 0.0000 0.2418 [2 per cell]
2 Re 0.5000 0.5000 0.0000 [1 per cell]
3 W 0.5000 0.5000 0.5000 [1 per cell]

Results
Calculated formation energy (eV/atom): -0.1536
Spin magnetization (μB per formula unit): 0.00
Crystal system: tetragonal

=====

Entry 2:
First-principles (PBE) data for ZnRu2PbO8 after structural relaxation, as listed in Alexandria.

Lattice parameters (Å, degrees): 5.0991 5.0991 22.9734 90.00 90.00 120.00
Space group R32 (No. 155, hexagonal axes)
Symmetry-distinct sites (fractional):
1 Zn 0.0000 0.0000 0.0000 [3 per cell]
2 Ru 0.0000 0.0000 0.2557 [6 per cell]
3 Pb 0.0000 0.0000 0.5000 [3 per cell]
4 O 0.0000 0.0000 0.1771 [6 per cell]
5 O 0.0048 0.3236 0.0601 [18 per cell]

Results
Raw formation energy (eV per atom): -0.757
Spin magnetization (μB per formula unit): 3.98
Crystal system: trigonal

=====

Entry 3:
First-principles (PBE) data for CsSrNpO4 after structural relaxation, as listed in Alexandria.

Lattice parameters (Å, degrees): 6.4320 6.3669 8.3475 90.00 108.25 90.00
Space group P2_1/m (No. 11)
Symmetry-distinct sites (fractional):
1 Cs 0.0923 0.2500 0.1508 [2 per cell]
2 Sr 0.1810 0.7500 0.4698 [2 per cell]
3 Np 0.4025 0.2500 0.7353 [2 per cell]
4 O 0.1679 0.0255 0.6852 [4 per cell]
5 O 0.2722 0.7500 0.1900 [2 per cell]
6 O 0.4160 0.2500 0.5000 [2 per cell]

Results
Raw formation energy (eV per atom): -2.455
Spin magnetization (μB per formula unit): 2.00
Crystal system: monoclinic